Record 1
Density functional theory data (GGA-PBE) for an optimized crystal structure of Cu4Re3.

```
Cu4Re3
1.0
-1.342 1.342 12.984
1.342 -1.342 12.984
1.342 1.342 -12.984
Cu Re
4 3
Direct
0.073 0.073 0.000 Cu
0.361 0.361 0.000 Cu
0.639 0.639 0.000 Cu
0.927 0.927 0.000 Cu
0.212 0.212 0.000 Re
0.500 0.500 0.000 Re
0.788 0.788 0.000 Re
```

Values from the calculation:
The total energy comes out at -7.396 eV per atom. The calculation puts the energy above the most stable polymorph in this dataset at 0.00 kJ/mol of atoms. Its space group is I4/mmm (139). Its crystal system is tetragonal.

Record 2
Density functional theory data (GGA-PBE) for an optimized crystal structure of Cu3Re.

```
Cu3Re
1.0
3.765 -3.794 0.000
3.765 3.794 0.000
0.000 0.000 3.640
Cu Re
6 2
Direct
0.106 0.367 0.750 Cu
0.120 0.880 0.750 Cu
0.367 0.106 0.250 Cu
0.633 0.894 0.750 Cu
0.880 0.120 0.250 Cu
0.894 0.633 0.250 Cu
0.393 0.607 0.250 Re
0.607 0.393 0.750 Re
```

Values from the calculation:
The total energy comes out at -5.978 eV per atom. Its space group is Cmcm (63). Its crystal system is orthorhombic.

Record 3
Density functional theory data (GGA-PBE) for an optimized crystal structure of CuRe.

```
CuRe
1.0
3.845 0.000 0.000
-1.923 3.330 0.000
0.000 0.000 5.026
Cu Re
2 2
Direct
0.333 0.667 0.250 Cu
0.667 0.333 0.750 Cu
0.000 0.000 0.000 Re
0.000 0.000 0.500 Re
```

Values from the calculation:
The total energy comes out at -7.001 eV per atom. The calculation puts the energy above the most stable polymorph in this dataset at 108.61 kJ/mol of atoms. Its space group is P6_3/mmc (194). Its crystal system is hexagonal.

Record 4
Density functional theory data (GGA-PBE) for an optimized crystal structure of CuRe2.

```
CuRe2
1.0
-1.339 1.339 12.239
1.339 -1.339 12.239
1.339 1.339 -12.239
Cu Re
2 4
Direct
0.375 0.625 0.750 Cu
0.625 0.375 0.250 Cu
0.046 0.796 0.250 Re
0.204 0.954 0.250 Re
0.796 0.046 0.750 Re
0.954 0.204 0.750 Re
```

Values from the calculation:
The total energy comes out at -9.086 eV per atom. The calculation puts the energy above the most stable polymorph in this dataset at 42.89 kJ/mol of atoms. Its space group is I4_1/amd (141). Its crystal system is tetragonal.

Record 5
Density functional theory data (GGA-PBE) for an optimized crystal structure of CuRe.

```
CuRe
1.0
0.000 3.022 3.022
3.022 0.000 3.022
3.022 3.022 0.000
Cu Re
2 2
Direct
0.125 0.125 0.125 Cu
0.875 0.875 0.875 Cu
0.375 0.375 0.375 Re
0.625 0.625 0.625 Re
```

Values from the calculation:
The total energy comes out at -7.916 eV per atom. The calculation puts the energy above the most stable polymorph in this dataset at 20.33 kJ/mol of atoms. Its space group is Fd-3m (227). Its crystal system is cubic.

Record 6
Density functional theory data (GGA-PBE) for an optimized crystal structure of CuRe.

```
CuRe
1.0
-3.981 3.981 1.803
3.981 -3.981 1.803
3.981 3.981 -1.803
Cu Re
4 4
Direct
0.000 0.336 0.336 Cu
0.000 0.664 0.664 Cu
0.336 0.000 0.336 Cu
0.664 0.000 0.664 Cu
0.335 0.335 0.670 Re
0.335 0.665 0.000 Re
0.665 0.335 0.000 Re
0.665 0.665 0.330 Re
```

Values from the calculation:
The total energy comes out at -7.988 eV per atom. The calculation puts the energy above the most stable polymorph in this dataset at 13.33 kJ/mol of atoms. Its space group is I4/mmm (139). Its crystal system is tetragonal.

| no. | energy of formation from the pure elements (kJ/mol of atoms) |
| --- | --- |
| 1 | 27 |
| 2 | 20 |
| 3 | 123 |
| 4 | 56 |
| 5 | 34 |
| 6 | 27 |